Density functional theory data (GGA+U) for crystalline KPrEuWO6 at its relaxed geometry.

Summary:
Its space group is No. 216. For the total energy, the calculation gives -78.3 eV per cell. Its volume is 15.84 Å³/atom.

POSCAR file:
```
KPrEuWO6
1.0
4.581 -1.466 3.708
-1.162 -2.192 5.543
1.140 -5.830 1.260
K Pr Eu W O
1 1 1 1 6
direct
0.750 0.750 0.750 K
0.000 0.000 0.000 Pr
0.250 0.250 0.250 Eu
0.500 0.500 0.500 W
0.273 0.727 0.273 O
0.727 0.273 0.727 O
0.273 0.727 0.727 O
0.727 0.273 0.273 O
0.273 0.273 0.727 O
0.727 0.727 0.273 O
```